First-principles (PBE) data for a relaxed TmPdI crystal, as listed in Alexandria.

Structure (POSCAR):
```
TmPdI
1.0
7.4624 0.2702 0.5169
-2.4959 7.2564 -0.1358
2.4706 3.2732 6.2618
I Pd Tm
4 4 4
direct
0.8355 0.7574 0.3418
0.9082 0.2574 0.4145
0.9008 0.2426 0.9218
0.3282 0.7426 0.3492
0.3107 0.2204 0.6504
0.1292 0.7796 0.9097
0.3403 0.2796 0.1208
0.5996 0.7204 0.9393
0.4992 0.0769 0.8764
0.6723 0.4231 0.2033
0.3736 0.5769 0.7508
0.0467 0.9231 0.5777
```

## Properties
The value obtained for the total magnetization is 0.00 μB per cell. Its raw formation energy is -0.696 eV/atom. As for the space group: Fdd2. The total energy comes out at -4.4341 eV per atom.